1.
First-principles (PBE) data for a relaxed structure of RbCeTeCl2, as listed in Alexandria via LeMat-Bulk.

Computed properties:
* calculated density: 3.8 g/cm3
* formation energy without anion corrections: -1.82 eV per atom
* symmetry: No. 63

Cell: 4.5917 9.2212 8.9659 Å, 90.00 90.00 104.42°
Positions (direct):
Cl  0.8476  0.6952  0.4873
Ce  0.0000  0.0000  0.5000
Cl  0.1524  0.3048  0.9873
Rb  0.2848  0.5695  0.2500
Cl  0.8476  0.6952  0.0127
Te  0.4952  0.9904  0.7500
Cl  0.1524  0.3048  0.5127
Te  0.5048  0.0096  0.2500
Rb  0.7152  0.4305  0.7500
Ce  0.0000  0.0000  0.0000

***

2.
First-principles (PBE) data for a relaxed structure of PrPuRh, as listed in Alexandria via LeMat-Bulk.

Computed properties:
* calculated density: 10.7 g/cm3
* energy relative to the elements: -0.17 eV per atom
* E above lowest polymorph: 0.234 eV per atom
* symmetry: No. 156

Cell: 4.0735 4.6306 4.6306 Å, 120.00 90.00 90.00°
Positions (direct):
Rh  0.3996  0.6667  0.3333
Pr  0.0266  0.0000  0.0000
Pu  0.5738  0.3333  0.6667

***

3.
First-principles (PBE) data for a relaxed structure of Y2BePtN, as listed in Alexandria via LeMat-Bulk.

Computed properties:
* calculated density: 7.9 g/cm3
* formation energy without anion corrections: -1.04 eV per atom
* symmetry: No. 123

Cell: 4.9301 4.9301 3.4223 Å, 90.00 90.00 90.00°
Positions (direct):
Pt  0.5000  0.5000  0.5000
N  0.0000  0.0000  0.0000
Y  0.5000  0.0000  0.0000
Y  0.0000  0.5000  0.0000
Be  0.0000  0.0000  0.5000

***

4.
First-principles (PBE) data for a relaxed structure of Rb3NaOs2O8, as listed in Alexandria via LeMat-Bulk.

Computed properties:
* calculated density: 4.8 g/cm3
* formation energy without anion corrections: -1.35 eV per atom
* symmetry: No. 164

Cell: 6.2220 6.2220 8.0894 Å, 90.00 90.00 120.00°
Positions (direct):
O  0.1780  0.8220  0.3079
O  0.3333  0.6667  0.9966
Rb  0.0000  0.0000  0.0000
Rb  0.6667  0.3333  0.3437
Na  0.0000  0.0000  0.5000
Os  0.6667  0.3333  0.7825
O  0.6667  0.3333  0.0034
Rb  0.3333  0.6667  0.6563
O  0.3559  0.1780  0.6921
O  0.8220  0.6441  0.6921
Os  0.3333  0.6667  0.2175
O  0.8220  0.1780  0.6921
O  0.6441  0.8220  0.3079
O  0.1780  0.3559  0.3079

***

Volume: 36.767, 25.214, 16.636, 19.373 (Å³/atom)
Magnetization: 1.95, 5.57, 0.00, 4.00 (Bohr magnetons per cell)
Total energy: -45.7, -27.0, -36.2, -85.2 (eV per cell)